(1)
Er2IrOs after structural relaxation. Source: the Alexandria database, functional PBE-GGA.

symmetry	R-3m (166)
calculated volume	20.645	Å³ per atom
formation energy	342	meV per atom

Cell: 9.679 9.679 9.679 Å, 18.84 18.84 18.84°
Sites, in units of the cell vectors:
Er 0.092 0.092 0.092
Er 0.908 0.908 0.908
Ir 0.000 0.000 0.000
Os 0.500 0.500 0.500


(2)
Er2IrOs after structural relaxation. Source: the Alexandria database, functional PBE-GGA.

symmetry	P4/mmm (123)
calculated volume	19.344	Å³ per atom
formation energy	-521	meV per atom

Cell: 3.383 3.383 6.761 Å, 90.00 90.00 90.00°
Sites, in units of the cell vectors:
Er 0.000 0.000 0.246
Er 0.000 0.000 0.754
Ir 0.500 0.500 0.500
Os 0.500 0.500 0.000


(3)
Er8IrOs2 after structural relaxation. Source: the Alexandria database, functional PBE-GGA.

symmetry	C2/m (12)
energy relative to the lowest polymorph listed for this composition	0	meV per atom
calculated volume	24.428	Å³ per atom
formation energy	-372	meV per atom

Cell: 8.987 8.987 6.856 Å, 106.94 106.94 30.60°
Sites, in units of the cell vectors:
Er 0.031 0.031 0.292
Er 0.206 0.206 0.813
Er 0.332 0.332 0.539
Er 0.403 0.403 0.044
Er 0.597 0.597 0.956
Er 0.668 0.668 0.461
Er 0.794 0.794 0.187
Er 0.969 0.969 0.708
Ir 0.500 0.500 0.500
Os 0.184 0.184 0.199
Os 0.816 0.816 0.801


(4)
Er8IrOs2 after structural relaxation. Source: the Alexandria database, functional PBE-GGA.

symmetry	Cm (8)
energy relative to the lowest polymorph listed for this composition	61	meV per atom
calculated volume	25.773	Å³ per atom
formation energy	-311	meV per atom

Cell: 7.495 7.495 5.748 Å, 100.30 100.30 112.07°
Sites, in units of the cell vectors:
Er 0.000 0.000 0.000
Er 0.032 0.291 0.590
Er 0.145 0.578 0.192
Er 0.291 0.032 0.590
Er 0.438 0.699 0.781
Er 0.578 0.145 0.192
Er 0.699 0.438 0.781
Er 0.722 0.722 0.382
Ir 0.359 0.359 0.332
Os 0.054 0.678 0.690
Os 0.678 0.054 0.690


(5)
Er6IrOs2 after structural relaxation. Source: the Alexandria database, functional PBE-GGA.

symmetry	P2_1/c (14)
calculated volume	24.917	Å³ per atom
formation energy	-348	meV per atom

Cell: 6.594 7.368 11.154 Å, 90.00 124.14 90.00°
Sites, in units of the cell vectors:
Er 0.073 0.043 0.238
Er 0.073 0.457 0.738
Er 0.217 0.668 0.067
Er 0.217 0.832 0.567
Er 0.401 0.172 0.071
Er 0.401 0.328 0.571
Er 0.599 0.672 0.429
Er 0.599 0.828 0.929
Er 0.783 0.168 0.433
Er 0.783 0.332 0.933
Er 0.927 0.543 0.262
Er 0.927 0.957 0.762
Ir 0.500 0.000 0.500
Ir 0.500 0.500 0.000
Os 0.302 0.129 0.767
Os 0.302 0.371 0.267
Os 0.698 0.629 0.733
Os 0.698 0.871 0.233


(6)
Er5IrOs after structural relaxation. Source: the Alexandria database, functional PBE-GGA.

symmetry	C2/c (15)
calculated volume	25.456	Å³ per atom
formation energy	-314	meV per atom

Cell: 7.820 7.820 6.275 Å, 94.43 94.43 110.38°
Sites, in units of the cell vectors:
Er 0.045 0.332 0.807
Er 0.184 0.816 0.750
Er 0.263 0.424 0.353
Er 0.332 0.045 0.307
Er 0.424 0.263 0.853
Er 0.576 0.737 0.147
Er 0.668 0.955 0.693
Er 0.737 0.576 0.647
Er 0.816 0.184 0.250
Er 0.955 0.668 0.193
Ir 0.000 0.000 0.000
Ir 0.000 0.000 0.500
Os 0.400 0.600 0.750
Os 0.600 0.400 0.250


(7)
ErPaIrOs after structural relaxation. Source: the Alexandria database, functional PBE-GGA.

symmetry	F-43m (216)
calculated volume	20.216	Å³ per atom
formation energy	-484	meV per atom

Cell: 4.854 4.854 4.854 Å, 60.00 60.00 60.00°
Sites, in units of the cell vectors:
Er 0.000 0.000 0.000
Pa 0.500 0.500 0.500
Ir 0.250 0.250 0.250
Os 0.750 0.750 0.750


(8)
ErPuIrOs after structural relaxation. Source: the Alexandria database, functional PBE-GGA.

symmetry	F-43m (216)
calculated volume	19.588	Å³ per atom
formation energy	-332	meV per atom

Cell: 4.803 4.803 4.803 Å, 60.00 60.00 60.00°
Sites, in units of the cell vectors:
Er 0.000 0.000 0.000
Pu 0.500 0.500 0.500
Ir 0.250 0.250 0.250
Os 0.750 0.750 0.750


(9)
TbErIrOs after structural relaxation. Source: the Alexandria database, functional PBE-GGA.

symmetry	F-43m (216)
calculated volume	19.766	Å³ per atom
formation energy	-459	meV per atom

Cell: 4.818 4.818 4.818 Å, 60.00 60.00 60.00°
Sites, in units of the cell vectors:
Tb 0.000 0.000 0.000
Er 0.500 0.500 0.500
Ir 0.750 0.750 0.750
Os 0.250 0.250 0.250


(10)
ErTiIrOs after structural relaxation. Source: the Alexandria database, functional PBE-GGA.

symmetry	F-43m (216)
calculated volume	17.048	Å³ per atom
formation energy	-539	meV per atom

Cell: 4.586 4.586 4.586 Å, 60.00 60.00 60.00°
Sites, in units of the cell vectors:
Er 0.000 0.000 0.000
Ti 0.500 0.500 0.500
Ir 0.250 0.250 0.250
Os 0.750 0.750 0.750


(11)
ErTmIrOs after structural relaxation. Source: the Alexandria database, functional PBE-GGA.

symmetry	F-43m (216)
calculated volume	19.218	Å³ per atom
formation energy	-538	meV per atom

Cell: 4.773 4.773 4.773 Å, 60.00 60.00 60.00°
Sites, in units of the cell vectors:
Er 0.000 0.000 0.000
Tm 0.500 0.500 0.500
Ir 0.750 0.750 0.750
Os 0.250 0.250 0.250


(12)
ErUIrOs after structural relaxation. Source: the Alexandria database, functional PBE-GGA.

symmetry	F-43m (216)
calculated volume	19.705	Å³ per atom
formation energy	-329	meV per atom

Cell: 4.813 4.813 4.813 Å, 60.00 60.00 60.00°
Sites, in units of the cell vectors:
Er 0.000 0.000 0.000
U 0.500 0.500 0.500
Ir 0.250 0.250 0.250
Os 0.750 0.750 0.750


(13)
YErIrOs after structural relaxation. Source: the Alexandria database, functional PBE-GGA.

symmetry	F-43m (216)
calculated volume	19.702	Å³ per atom
formation energy	-458	meV per atom

Cell: 4.812 4.812 4.812 Å, 60.00 60.00 60.00°
Sites, in units of the cell vectors:
Y 0.000 0.000 0.000
Er 0.500 0.500 0.500
Ir 0.750 0.750 0.750
Os 0.250 0.250 0.250


(14)
Er4P6Ir7 after structural relaxation. Source: the Alexandria database, functional PBE-GGA.

symmetry	Im-3m (229)
calculated volume	16.146	Å³ per atom
formation energy	-961	meV per atom

Cell: 7.091 7.091 7.091 Å, 109.47 109.47 109.47°
Sites, in units of the cell vectors:
Er 0.000 0.000 0.500
Er 0.000 0.500 0.000
Er 0.500 0.000 0.000
Er 0.500 0.500 0.500
P 0.000 0.323 0.323
P 0.000 0.677 0.677
P 0.323 0.000 0.323
P 0.323 0.323 0.000
P 0.677 0.000 0.677
P 0.677 0.677 0.000
Ir 0.000 0.000 0.000
Ir 0.250 0.500 0.750
Ir 0.250 0.750 0.500
Ir 0.500 0.250 0.750
Ir 0.500 0.750 0.250
Ir 0.750 0.250 0.500
Ir 0.750 0.500 0.250


(15)
Er2PIr3 after structural relaxation. Source: the Alexandria database, functional PBE-GGA.

symmetry	R-3m (166)
calculated volume	17.118	Å³ per atom
formation energy	-904	meV per atom

Cell: 5.035 5.035 5.035 Å, 66.41 66.41 66.41°
Sites, in units of the cell vectors:
Er 0.126 0.126 0.126
Er 0.874 0.874 0.874
P 0.500 0.500 0.500
Ir 0.000 0.500 0.500
Ir 0.500 0.000 0.500
Ir 0.500 0.500 0.000


(16)
ErP2Ir3 after structural relaxation. Source: the Alexandria database, functional PBE-GGA.

symmetry	C2/m (12)
calculated volume	15.834	Å³ per atom
formation energy	-862	meV per atom

Cell: 8.181 8.181 9.689 Å, 107.12 107.12 27.46°
Sites, in units of the cell vectors:
Er 0.000 0.000 0.000
Er 0.153 0.153 0.690
Er 0.847 0.847 0.310
P 0.201 0.201 0.135
P 0.365 0.365 0.548
P 0.459 0.459 0.222
P 0.541 0.541 0.778
P 0.635 0.635 0.452
P 0.799 0.799 0.865
Ir 0.040 0.040 0.319
Ir 0.226 0.226 0.394
Ir 0.324 0.324 0.054
Ir 0.370 0.370 0.793
Ir 0.500 0.500 0.500
Ir 0.630 0.630 0.207
Ir 0.676 0.676 0.946
Ir 0.774 0.774 0.606
Ir 0.960 0.960 0.681


(17)
ErP2Ir2 after structural relaxation. Source: the Alexandria database, functional PBE-GGA.

symmetry	P4/nmm (129)
calculated volume	16.145	Å³ per atom
formation energy	-958	meV per atom

Cell: 4.115 4.115 9.535 Å, 90.00 90.00 90.00°
Sites, in units of the cell vectors:
Er 0.250 0.250 0.243
Er 0.750 0.750 0.757
P 0.250 0.250 0.641
P 0.250 0.750 0.000
P 0.750 0.250 0.000
P 0.750 0.750 0.359
Ir 0.250 0.250 0.884
Ir 0.250 0.750 0.500
Ir 0.750 0.250 0.500
Ir 0.750 0.750 0.116


(18)
Er5P12Ir19 after structural relaxation. Source: the Alexandria database, functional PBE-GGA.

symmetry	P-62m (189)
calculated volume	15.396	Å³ per atom
formation energy	-790	meV per atom

Cell: 12.695 12.695 3.971 Å, 90.00 90.00 120.00°
Sites, in units of the cell vectors:
Er 0.000 0.183 0.000
Er 0.183 0.000 0.000
Er 0.333 0.667 0.500
Er 0.667 0.333 0.500
Er 0.817 0.817 0.000
P 0.000 0.355 0.500
P 0.000 0.822 0.500
P 0.171 0.687 0.000
P 0.178 0.178 0.500
P 0.313 0.484 0.000
P 0.355 0.000 0.500
P 0.484 0.313 0.000
P 0.516 0.829 0.000
P 0.645 0.645 0.500
P 0.687 0.171 0.000
P 0.822 0.000 0.500
P 0.829 0.516 0.000
Ir 0.000 0.000 0.500
Ir 0.000 0.535 0.500
Ir 0.000 0.714 0.000
Ir 0.134 0.494 0.000
Ir 0.180 0.806 0.500
Ir 0.194 0.374 0.500
Ir 0.286 0.286 0.000
Ir 0.359 0.866 0.000
Ir 0.374 0.194 0.500
Ir 0.465 0.465 0.500
Ir 0.494 0.134 0.000
Ir 0.506 0.641 0.000
Ir 0.535 0.000 0.500
Ir 0.626 0.820 0.500
Ir 0.641 0.506 0.000
Ir 0.714 0.000 0.000
Ir 0.806 0.180 0.500
Ir 0.820 0.626 0.500
Ir 0.866 0.359 0.000


(19)
Er3P5Ir6 after structural relaxation. Source: the Alexandria database, functional PBE-GGA.

symmetry	Pmmn (59)
calculated volume	16.336	Å³ per atom
formation energy	-962	meV per atom

Cell: 3.831 12.185 9.798 Å, 90.00 90.00 90.00°
Sites, in units of the cell vectors:
Er 0.250 0.097 0.239
Er 0.250 0.403 0.239
Er 0.250 0.750 0.270
Er 0.750 0.250 0.730
Er 0.750 0.597 0.761
Er 0.750 0.903 0.761
P 0.250 0.080 0.839
P 0.250 0.420 0.839
P 0.250 0.632 0.537
P 0.250 0.750 0.875
P 0.250 0.868 0.537
P 0.750 0.132 0.463
P 0.750 0.250 0.125
P 0.750 0.368 0.463
P 0.750 0.580 0.161
P 0.750 0.920 0.161
Ir 0.250 0.051 0.606
Ir 0.250 0.250 0.478
Ir 0.250 0.250 0.981
Ir 0.250 0.449 0.606
Ir 0.250 0.582 0.025
Ir 0.250 0.918 0.025
Ir 0.750 0.082 0.975
Ir 0.750 0.418 0.975
Ir 0.750 0.551 0.394
Ir 0.750 0.750 0.019
Ir 0.750 0.750 0.522
Ir 0.750 0.949 0.394


(20)
Er2P2Ir5 after structural relaxation. Source: the Alexandria database, functional PBE-GGA.

symmetry	P4/mmm (123)
calculated volume	16.195	Å³ per atom
formation energy	-899	meV per atom

Cell: 4.096 4.096 8.686 Å, 90.00 90.00 90.00°
Sites, in units of the cell vectors:
Er 0.000 0.000 0.000
Er 0.000 0.000 0.500
P 0.500 0.500 0.133
P 0.500 0.500 0.867
Ir 0.000 0.500 0.260
Ir 0.000 0.500 0.740
Ir 0.500 0.000 0.260
Ir 0.500 0.000 0.740
Ir 0.500 0.500 0.500


In Bohr magnetons per cell, the magnetization values for the records above are, in order, 0.00, 0.00, 0.00, 0.00, 0.00, 0.00, 0.00, 4.18, 0.00, 0.00, 0.00, 1.86, 0.00, 0.00, 0.00, 0.00, 0.00, 0.00, 0.00, 0.00.
In eV/atom, the total energy values for the records above are, in order, -6.96, -7.83, -6.54, -6.48, -6.87, -6.44, -9.02, -10.08, -7.78, -8.68, -7.82, -9.31, -8.24, -7.59, -7.76, -7.86, -7.58, -7.90, -7.67, -8.04.